No. 1
## TiGaPd3 (PBE)

Data for a geometry-optimized TiGaPd3 structure.

Its formation energy from the elements is 0.272 eV per atom. The calculation puts the energy above the lowest structure with this stoichiometry at 918 meV per atom. For the calculated volume, the calculation gives 19.18 A^3/atom.

The structure belongs to space group Pm-3m (No. 221); the cell edges are 4.577, 4.577 and 4.577 Å and the angles 90.00°, 90.00° and 90.00°. Symmetry generates all atoms from Ti at (0.000, 0.000, 0.000), Ga at (0.500, 0.500, 0.500) and Pd at (0.000, 0.500, 0.500).

---

No. 2
## Ti3Ga2Pd4 (PBE)

Data for a geometry-optimized Ti3Ga2Pd4 structure.

Its formation energy from the elements is -0.617 eV per atom. For the calculated volume, the calculation gives 15.34 A^3/atom.

The structure belongs to space group C2/m (No. 12); the cell edges are 8.677, 3.934 and 8.341 Å and the angles 90.00°, 104.10° and 90.00°. Symmetry generates all atoms from Ti at (0.000, 0.000, 0.000), Ti at (0.168, 0.500, 0.566), Ga at (0.166, 0.500, 0.226), Pd at (0.005, 0.000, 0.332) and Pd at (0.166, 0.500, 0.894).

---

No. 3
## Ti3Ga3Pd2 (PBE)

Data for a geometry-optimized Ti3Ga3Pd2 structure.

Its formation energy from the elements is -0.550 eV per atom. For the calculated volume, the calculation gives 15.47 A^3/atom.

The structure belongs to space group Immm (No. 71); the cell edges are 3.940, 3.978 and 15.788 Å and the angles 90.00°, 90.00° and 90.00°. Symmetry generates all atoms from Ti at (0.000, 0.000, 0.000), Ti at (0.000, 0.500, 0.373), Ga at (0.000, 0.000, 0.500), Ga at (0.000, 0.500, 0.128) and Pd at (0.000, 0.000, 0.250).

---

No. 4
## Ti3Ga6Pd (PBE)

Data for a geometry-optimized Ti3Ga6Pd structure.

Its formation energy from the elements is -0.359 eV per atom. For the calculated volume, the calculation gives 16.59 A^3/atom.

The structure belongs to space group R-3c (No. 167, hexagonal axes); the cell edges are 10.3314, 10.3314 and 10.7654 Å and the angles 90.00°, 90.00° and 120.00°. Symmetry generates all atoms from Ti at (0.0000, 0.4293, 0.2500), Ga at (0.0597, 0.2082, 0.3524) and Pd at (0.0000, 0.0000, 0.0000).

---

No. 5
## Ti7Ga2Pd2 (PBE)

Data for a geometry-optimized Ti7Ga2Pd2 structure.

Its formation energy from the elements is -0.282 eV per atom. For the calculated volume, the calculation gives 16.84 A^3/atom.

The structure belongs to space group P-1 (No. 2); the cell edges are 5.393, 5.415 and 7.418 Å and the angles 73.35°, 75.04° and 64.65°. Symmetry generates all atoms from Ti at (0.000, 0.000, 0.000), Ti at (0.080, 0.538, 0.685), Ti at (0.401, 0.913, 0.259), Ti at (0.460, 0.356, 0.343), Ga at (0.308, 0.396, 0.003) and Pd at (0.104, 0.086, 0.615).

---

No. 6
## Ti3GaPd2 (PBE)

Data for a geometry-optimized Ti3GaPd2 structure.

Its formation energy from the elements is -0.449 eV per atom. For the calculated volume, the calculation gives 15.97 A^3/atom.

The structure belongs to space group Pmmn (No. 59, origin choice 2); the cell edges are 4.752, 14.177 and 2.844 Å and the angles 90.00°, 90.00° and 90.00°. Symmetry generates all atoms from Ti at (0.250, 0.081, 0.001), Ti at (0.250, 0.750, 0.998), Ga at (0.250, 0.250, 0.502) and Pd at (0.250, 0.588, 0.498).

---

Look up the calculated volume of the first one. 19.18 A^3/atom

---

Which of these has the lowest calculated volume? Ti3Ga2Pd4

---

Look up the formation energy from the elements of the sixth one. -0.449 eV per atom

---

Copy entry 5 word for word.
## Ti7Ga2Pd2 (PBE)

Data for a geometry-optimized Ti7Ga2Pd2 structure.

Its formation energy from the elements is -0.282 eV per atom. For the calculated volume, the calculation gives 16.84 A^3/atom.

The structure belongs to space group P-1 (No. 2); the cell edges are 5.393, 5.415 and 7.418 Å and the angles 73.35°, 75.04° and 64.65°. Symmetry generates all atoms from Ti at (0.000, 0.000, 0.000), Ti at (0.080, 0.538, 0.685), Ti at (0.401, 0.913, 0.259), Ti at (0.460, 0.356, 0.343), Ga at (0.308, 0.396, 0.003) and Pd at (0.104, 0.086, 0.615).